The following is a GGA-PBE calculation of a relaxed Pr4ErSb5 crystal, from Alexandria.

POSCAR file:
```
Pr4ErSb5
1.0
4.5224 0.0000 0.0000
0.0000 4.5224 0.0000
-2.2612 -2.2612 15.9589
Pr Er Sb
4 1 5
Cartesian
0.0000 0.0000 12.7915
2.2612 2.2612 9.6086
0.0000 0.0000 6.3503
2.2612 2.2612 3.1673
0.0000 0.0000 0.0000
0.0000 0.0000 3.1067
2.2612 2.2612 0.0000
2.2612 2.2612 12.8522
0.0000 0.0000 9.5761
2.2612 2.2612 6.3828
```

Properties
Crystal system ... tetragonal
N(E_F) ... 0.120 states/eV/atom
Final energy ... -0.411 Ry/atom
Theoretical density ... 6.8 g cm⁻³
M_tot ... 0.000 μB/atom
Symmetry ... I4/mmm, No. 139
Formation energy (no corrections) ... -11.62 eV/f.u.